# LaPrTl6

LaPrTl6 after structural relaxation (GGA-PBE, Alexandria via LeMat-Bulk).

Structure (CIF):
```
data_LaPrTl6
_cell_length_a 4.8743
_cell_length_b 4.8743
_cell_length_c 9.7449
_cell_angle_alpha 90.00
_cell_angle_beta 90.00
_cell_angle_gamma 90.00
_symmetry_space_group_name_H-M 'P 4/m m m'
_symmetry_Int_Tables_number 123
_symmetry_space_group_name_Hall '-P 4 2'
loop_
_atom_site_label
_atom_site_fract_x
_atom_site_fract_y
_atom_site_fract_z
_atom_site_occupancy
La1 0.0000 0.0000 0.0000 1
Pr1 0.0000 0.0000 0.5000 1
Tl1 0.0000 0.5000 0.2513 1
Tl2 0.5000 0.5000 0.0000 1
Tl3 0.5000 0.5000 0.5000 1
```

Values from the calculation:
Crystal system ... tetragonal
Energy relative to the elements ... -346 meV/atom